# 1
A plane-wave DFT calculation with PBE was carried out for a relaxed SrCu2Si crystal.

a = 4.847 Å, b = 4.847 Å, c = 15.640 Å
α = 90.00°, β = 90.00°, γ = 90.00°
Space group I4_1/amd (No. 141, origin choice 2)
Unique sites:
Sr (0.000, 0.250, 0.375)
Cu (0.000, 0.000, 0.000)
Si (0.000, 0.250, 0.875)

* DOS(E_F): 5.2 states/eV/cell
* ΔE_f (raw): -169 meV/atom
* magnetic moment: 0.0 μB/cell

# 2
A plane-wave DFT calculation with PBE was carried out for a relaxed Sr2Cu15Si2 crystal.

a = 8.7490 Å, b = 8.7490 Å, c = 12.6267 Å
α = 90.00°, β = 90.00°, γ = 120.00°
Space group R-3m (No. 166, hexagonal axes)
Unique sites:
Sr (0.0000, 0.0000, 0.1535)
Cu (0.0000, 0.2961, 0.5000)
Cu (0.0000, 0.5000, 0.0000)
Cu (0.0104, 0.5052, 0.3422)
Si (0.0000, 0.0000, 0.4057)

* DOS(E_F): 33.7 states/eV/cell
* ΔE_f (raw): -40 meV/atom
* magnetic moment: 0.0 μB/cell

# 3
A plane-wave DFT calculation with PBE was carried out for a relaxed Sr3Cu3Si2 crystal.

a = 7.788 Å, b = 15.205 Å, c = 6.247 Å
α = 90.00°, β = 90.00°, γ = 90.00°
Space group Pnma (No. 62)
Unique sites:
Sr (0.006, 0.105, 0.135)
Sr (0.133, 0.250, 0.638)
Cu (0.145, 0.037, 0.603)
Cu (0.208, 0.750, 0.586)
Si (0.151, 0.589, 0.360)

* DOS(E_F): 17.9 states/eV/cell
* ΔE_f (raw): -246 meV/atom
* magnetic moment: 0.0 μB/cell

# 4
A plane-wave DFT calculation with PBE was carried out for a relaxed Sr3Cu2Si4 crystal.

a = 11.841 Å, b = 4.054 Å, c = 8.615 Å
α = 90.00°, β = 94.92°, γ = 90.00°
Space group C2/m (No. 12)
Unique sites:
Sr (0.000, 0.000, 0.000)
Sr (0.165, 0.500, 0.665)
Cu (0.110, 0.500, 0.279)
Si (0.054, 0.000, 0.390)
Si (0.219, 0.500, 0.063)

* DOS(E_F): 9.7 states/eV/cell
* ΔE_f (raw): -429 meV/atom
* magnetic moment: 0.0 μB/cell

# 5
A plane-wave DFT calculation with PBE was carried out for a relaxed SrCu2Si crystal.

a = 3.262 Å, b = 3.262 Å, c = 6.994 Å
α = 90.00°, β = 90.00°, γ = 90.00°
Space group P4mm (No. 99)
Unique sites:
Sr (0.000, 0.000, 0.000)
Cu (0.000, 0.000, 0.509)
Cu (0.500, 0.500, 0.325)
Si (0.500, 0.500, 0.667)

* DOS(E_F): 2.3 states/eV/cell
* ΔE_f (raw): 86 meV/atom
* magnetic moment: 0.0 μB/cell

# 6
A plane-wave DFT calculation with PBE was carried out for a relaxed Sr2CuSi2 crystal.

a = 6.982 Å, b = 6.982 Å, c = 4.883 Å
α = 90.00°, β = 90.00°, γ = 90.00°
Space group P4/mbm (No. 127)
Unique sites:
Sr (0.170, 0.330, 0.000)
Cu (0.000, 0.000, 0.500)
Si (0.131, 0.631, 0.500)

* E above lowest polymorph: 0.47 eV/f.u.
* DOS(E_F): 6.3 states/eV/cell
* ΔE_f (raw): -146 meV/atom
* magnetic moment: 0.0 μB/cell

# 7
A plane-wave DFT calculation with PBE was carried out for a relaxed Sr2Cu12Si7 crystal.

a = 9.5497 Å, b = 9.5497 Å, c = 4.0125 Å
α = 90.00°, β = 90.00°, γ = 120.00°
Space group P-3 (No. 147)
Unique sites:
Sr (0.3333, 0.6667, 0.2487)
Cu (0.0521, 0.4300, 0.7536)
Cu (0.1267, 0.2593, 0.2334)
Si (0.0000, 0.0000, 0.5000)
Si (0.1045, 0.7060, 0.7446)

* DOS(E_F): 6.4 states/eV/cell
* ΔE_f (raw): -136 meV/atom
* magnetic moment: 0.0 μB/cell

# 8
A plane-wave DFT calculation with PBE was carried out for a relaxed SrCu2Si crystal.

a = 7.394 Å, b = 4.169 Å, c = 10.567 Å
α = 90.00°, β = 90.00°, γ = 90.00°
Space group Pnma (No. 62)
Unique sites:
Sr (0.163, 0.250, 0.130)
Cu (0.108, 0.250, 0.439)
Cu (0.182, 0.250, 0.828)
Si (0.007, 0.750, 0.349)

* DOS(E_F): 7.9 states/eV/cell
* ΔE_f (raw): -215 meV/atom
* magnetic moment: 0.0 μB/cell

# 9
A plane-wave DFT calculation with PBE was carried out for a relaxed SrCu2Si crystal.

a = 4.468 Å, b = 4.468 Å, c = 3.860 Å
α = 90.00°, β = 90.00°, γ = 90.00°
Space group P4/mmm (No. 123)
Unique sites:
Sr (0.000, 0.000, 0.000)
Cu (0.000, 0.500, 0.500)
Si (0.500, 0.500, 0.000)

* DOS(E_F): 2.5 states/eV/cell
* ΔE_f (raw): 288 meV/atom
* magnetic moment: 0.0 μB/cell

# 10
A plane-wave DFT calculation with PBE was carried out for a relaxed SrCu3Si3 crystal.

a = 6.516 Å, b = 6.516 Å, c = 6.516 Å
α = 90.00°, β = 90.00°, γ = 90.00°
Space group Pm-3n (No. 223)
Unique sites:
Sr (0.000, 0.000, 0.000)
Cu (0.000, 0.250, 0.500)
Si (0.000, 0.500, 0.250)

* DOS(E_F): 9.9 states/eV/cell
* ΔE_f (raw): 39 meV/atom
* magnetic moment: 0.0 μB/cell

# 11
A plane-wave DFT calculation with PBE was carried out for a relaxed SrCu12Si6 crystal.

a = 10.5893 Å, b = 10.5893 Å, c = 8.5039 Å
α = 90.00°, β = 90.00°, γ = 120.00°
Space group R-3m (No. 166, hexagonal axes)
Unique sites:
Sr (0.0000, 0.0000, 0.0000)
Cu (0.0000, 0.3837, 0.5000)
Cu (0.0889, 0.1777, 0.3181)
Si (0.0494, 0.5247, 0.2566)

* DOS(E_F): 20.5 states/eV/cell
* ΔE_f (raw): -1 meV/atom
* magnetic moment: 0.0 μB/cell

# 12
A plane-wave DFT calculation with PBE was carried out for a relaxed SrCu2Si crystal.

a = 4.500 Å, b = 4.272 Å, c = 4.747 Å
α = 90.00°, β = 90.98°, γ = 90.00°
Space group Pm (No. 6)
Unique sites:
Sr (0.000, 0.000, 0.000)
Cu (0.205, 0.500, 0.508)
Cu (0.507, 0.000, 0.498)
Si (0.706, 0.500, 0.489)

* DOS(E_F): 1.2 states/eV/cell
* ΔE_f (raw): -149 meV/atom
* magnetic moment: 0.0 μB/cell